Entry 1:
# LiDy3Np3Se8 | Alexandria | PBE | optimized geometry
data_LiDy3Np3Se8
_space_group_name_H-M_alt 'P 1'
_space_group_IT_number 1
_space_group_name_Hall 'P 1'
_cell_length_a 8.1410
_cell_length_b 8.1410
_cell_length_c 8.1410
_cell_angle_alpha 59.96
_cell_angle_beta 59.96
_cell_angle_gamma 59.96
loop_
_atom_site_label
_atom_site_fract_x
_atom_site_fract_y
_atom_site_fract_z
_atom_site_occupancy
Li1 0.0000 0.0000 0.0000 1
Dy1 0.0000 0.0000 0.5000 1
Dy2 0.0000 0.5000 0.0000 1
Dy3 0.5000 0.0000 0.0000 1
Np1 0.0000 0.5000 0.5000 1
Np2 0.5000 0.0000 0.5000 1
Np3 0.5000 0.5000 0.0000 1
Se1 0.2460 0.7524 0.7524 1
Se2 0.2476 0.2476 0.7540 1
Se3 0.2476 0.7540 0.2476 1
Se4 0.2491 0.2491 0.2491 1
Se5 0.7509 0.7509 0.7509 1
Se6 0.7524 0.2460 0.7524 1
Se7 0.7524 0.7524 0.2460 1
Se8 0.7540 0.2476 0.2476 1
# formation energy without anion corrections: -21.7 eV per formula unit
# E_tot: -6.938 eV per atom
# M_tot: 0.865 μB per atom


Entry 2:
# Sr2HfCuTc | Alexandria | PBE | optimized geometry
data_Sr2HfCuTc
_space_group_name_H-M_alt 'P 1'
_space_group_IT_number 1
_space_group_name_Hall 'P 1'
_cell_length_a 5.9098
_cell_length_b 5.9098
_cell_length_c 4.7834
_cell_angle_alpha 90.00
_cell_angle_beta 90.00
_cell_angle_gamma 90.00
loop_
_atom_site_label
_atom_site_fract_x
_atom_site_fract_y
_atom_site_fract_z
_atom_site_occupancy
Sr1 0.0000 0.5000 0.0000 1
Sr2 0.5000 0.0000 0.0000 1
Hf1 0.0000 0.0000 0.5000 1
Cu1 0.5000 0.5000 0.5000 1
Tc1 0.0000 0.0000 0.0000 1
# E_tot: -4.806 eV per atom
# energy of formation: 0.7497 eV/atom
# M_tot: 0.000 μB per atom